A plane-wave DFT calculation with GGA-PBE was carried out for a relaxed K2NiPb crystal.

Values from the calculation:
energy of formation = 0.17 eV/atom
space-group type = No. 99
E = -2.746 eV per atom
V = 34.5 Å³ per atom

a b c (Å): 3.6812 3.6812 10.1962
angles (deg): 90.00 90.00 89.99
Atoms (fractional coordinates):
K1 0.0000 0.0000 0.9226
K2 0.5000 0.5000 0.3329
Ni1 0.0000 0.0000 0.5764
Pb1 0.5000 0.5000 0.6681